[1]
DFT (GGA-PBEsol) results for a relaxed ZrScN2F crystal.

Structure (CIF):
```
data_ZrScN2F
_cell_length_a 4.1165
_cell_length_b 4.1165
_cell_length_c 3.7062
_cell_angle_alpha 90.00
_cell_angle_beta 90.00
_cell_angle_gamma 90.00
_space_group_name_H-M_alt 'P 4/m m m'
_space_group_IT_number 123
_space_group_name_Hall '-P 4 2'
loop_
_atom_site_label
_atom_site_type_symbol
_atom_site_fract_x
_atom_site_fract_y
_atom_site_fract_z
_atom_site_occupancy
Zr1 Zr 0.0000 0.0000 0.0000 1
Sc1 Sc 0.5000 0.5000 0.5000 1
N1 N 0.0000 0.5000 0.5000 1
F1 F 0.5000 0.5000 0.0000 1
```

Summary:
E_tot   -40.577 eV per cell
Calculated volume   63 Å³ per cell
N(E_F)   1.03 states/eV/cell
Formation energy without anion corrections   -114 kJ/mol of atoms

***

[2]
DFT (GGA-PBEsol) results for a relaxed GaTeRuI2 crystal.

Structure (CIF):
```
data_GaTeRuI2
_cell_length_a 5.5242
_cell_length_b 5.5242
_cell_length_c 4.9275
_cell_angle_alpha 90.00
_cell_angle_beta 90.00
_cell_angle_gamma 90.00
_space_group_name_H-M_alt 'P 4/m m m'
_space_group_IT_number 123
_space_group_name_Hall '-P 4 2'
loop_
_atom_site_label
_atom_site_type_symbol
_atom_site_fract_x
_atom_site_fract_y
_atom_site_fract_z
_atom_site_occupancy
Ga1 Ga 0.0000 0.0000 0.0000 1
Te1 Te 0.5000 0.5000 0.0000 1
Ru1 Ru 0.5000 0.5000 0.5000 1
I1 I 0.0000 0.5000 0.5000 1
```

Summary:
E_tot   -19.136 eV per cell
Calculated volume   150 Å³ per cell
N(E_F)   3.63 states/eV/cell
Formation energy without anion corrections   28 kJ/mol of atoms

***

What did the second record say?
DFT (GGA-PBEsol) results for a relaxed GaTeRuI2 crystal.

Structure (CIF):
```
data_GaTeRuI2
_cell_length_a 5.5242
_cell_length_b 5.5242
_cell_length_c 4.9275
_cell_angle_alpha 90.00
_cell_angle_beta 90.00
_cell_angle_gamma 90.00
_space_group_name_H-M_alt 'P 4/m m m'
_space_group_IT_number 123
_space_group_name_Hall '-P 4 2'
loop_
_atom_site_label
_atom_site_type_symbol
_atom_site_fract_x
_atom_site_fract_y
_atom_site_fract_z
_atom_site_occupancy
Ga1 Ga 0.0000 0.0000 0.0000 1
Te1 Te 0.5000 0.5000 0.0000 1
Ru1 Ru 0.5000 0.5000 0.5000 1
I1 I 0.0000 0.5000 0.5000 1
```

Summary:
E_tot   -19.136 eV per cell
Calculated volume   150 Å³ per cell
N(E_F)   3.63 states/eV/cell
Formation energy without anion corrections   28 kJ/mol of atoms